(1)
Below is a geometry-optimized PmAlRe structure, with properties calculated at the PBE level.

Cell: 5.4945 5.4945 5.4945 Å, 121.62 116.77 91.45°
Fractional coordinates of all 6 atoms:
Pm  0.3678  0.1178  0.2500
Pm  0.6322  0.8822  0.7500
Al  0.0000  0.5000  0.5000
Al  0.5000  0.5000  0.0000
Re  0.0000  0.0000  0.5000
Re  0.0000  0.5000  0.0000

Summary:
- relative energy among the computed polymorphs (meV per atom) = 0
- formation enthalpy at 0 K (eV per atom) = -0.259
- D(E_F) (states/eV/f.u.) = 2.14

---

(2)
Below is a geometry-optimized CsAcTlTe3 structure, with properties calculated at the PBE level.

Cell: 10.0087 5.2123 11.3862 Å, 90.00 107.31 90.00°
Fractional coordinates of all 12 atoms:
Cs  0.2245  0.2500  0.2482
Cs  0.7755  0.7500  0.7518
Ac  0.3188  0.7500  0.8659
Ac  0.6812  0.2500  0.1341
Tl  0.1012  0.2500  0.6018
Tl  0.8988  0.7500  0.3982
Te  0.0974  0.2500  0.8663
Te  0.2231  0.7500  0.5450
Te  0.4770  0.7500  0.1617
Te  0.5230  0.2500  0.8383
Te  0.7769  0.2500  0.4550
Te  0.9026  0.7500  0.1337

Summary:
- raw formation energy (eV per atom) = -1.001
- D(E_F) (states/eV/f.u.) = 1.80

---

(3)
Below is a geometry-optimized TbCePmPa structure, with properties calculated at the PBE level.

Cell: 5.5603 5.5603 5.5603 Å, 60.00 60.00 60.00°
Fractional coordinates of all 4 atoms:
Tb  0.0000  0.0000  0.0000
Ce  0.2500  0.2500  0.2500
Pm  0.7500  0.7500  0.7500
Pa  0.5000  0.5000  0.5000

Summary:
- formation enthalpy at 0 K (eV per atom) = 0.393
- D(E_F) (states/eV/f.u.) = 13.27

---

(4)
Below is a geometry-optimized Ti6NbSb2 structure, with properties calculated at the PBE level.

Cell: 7.3923 7.3923 3.5535 Å, 90.00 90.00 120.00°
Fractional coordinates of all 9 atoms:
Ti  0.0000  0.2523  0.0000
Ti  0.0000  0.5996  0.5000
Ti  0.2523  0.0000  0.0000
Ti  0.4004  0.4004  0.5000
Ti  0.5996  0.0000  0.5000
Ti  0.7477  0.7477  0.0000
Nb  0.0000  0.0000  0.5000
Sb  0.3333  0.6667  0.0000
Sb  0.6667  0.3333  0.0000

Summary:
- raw formation energy (eV per atom) = -0.222
- D(E_F) (states/eV/f.u.) = 8.77

---

(5)
Below is a geometry-optimized YCl4 structure, with properties calculated at the PBE level.

Cell: 5.5773 5.5773 5.5773 Å, 109.47 109.47 109.47°
Fractional coordinates of all 5 atoms:
Y  0.0000  0.0000  0.0000
Cl  0.0000  0.0000  0.5000
Cl  0.0000  0.5000  0.0000
Cl  0.5000  0.0000  0.0000
Cl  0.5000  0.5000  0.5000

Summary:
- raw formation energy (eV per atom) = -1.493
- D(E_F) (states/eV/f.u.) = 4.84

---

(6)
Below is a geometry-optimized Li3AlZn2 structure, with properties calculated at the PBE level.

Cell: 7.1819 7.1819 6.7146 Å, 97.14 97.14 34.64°
Fractional coordinates of all 12 atoms:
Li  0.0652  0.0652  0.3517
Li  0.3061  0.3061  0.5500
Li  0.3938  0.3938  0.9347
Li  0.6062  0.6062  0.0653
Li  0.6939  0.6939  0.4500
Li  0.9348  0.9348  0.6483
Al  0.1469  0.1469  0.7852
Al  0.8531  0.8531  0.2148
Zn  0.2350  0.2350  0.1601
Zn  0.4525  0.4525  0.3280
Zn  0.5475  0.5475  0.6720
Zn  0.7650  0.7650  0.8399

Summary:
- formation enthalpy at 0 K (eV per atom) = -0.147
- D(E_F) (states/eV/f.u.) = 1.78

---

(7)
Below is a geometry-optimized NaPuTl2O6 structure, with properties calculated at the PBE level.

Cell: 5.8961 6.0158 6.4528 Å, 101.30 106.87 115.49°
Fractional coordinates of all 10 atoms:
Na  0.0000  0.0000  0.0000
Pu  0.8749  0.5088  0.3566
Tl  0.4350  0.3178  0.7063
Tl  0.5721  0.8868  0.3348
O  0.3027  0.8155  0.4988
O  0.4704  0.2003  0.2284
O  0.7291  0.7117  0.1455
O  0.8445  0.7031  0.6076
O  0.9136  0.3411  0.1052
O  0.9732  0.2941  0.5429

Summary:
- raw formation energy (eV per atom) = -1.527

---

(8)
Below is a geometry-optimized Pr3ThN structure, with properties calculated at the PBE level.

Cell: 5.1875 5.1875 5.1875 Å, 90.00 90.00 90.00°
Fractional coordinates of all 5 atoms:
Pr  0.0000  0.0000  0.5000
Pr  0.0000  0.5000  0.0000
Pr  0.5000  0.0000  0.0000
Th  0.5000  0.5000  0.5000
N  0.0000  0.0000  0.0000

Summary:
- raw formation energy (eV per atom) = -0.328
- D(E_F) (states/eV/f.u.) = 7.18